a:
Density functional theory data (PBE-GGA) for a relaxed structure of Tb2SmCd6.

Calculated values
Size of the total moment, μB/atom: 0.00

Unit cell a=3.429 b=8.681 c=8.681 alpha=120.00 beta=90.00 gamma=90.00
Element x y z (fractional)
Tb (0.000, 0.667, 0.333)
Tb (0.000, 0.333, 0.667)
Sm (0.000, 0.000, 0.000)
Cd (0.500, 0.000, 0.665)
Cd (0.500, 0.335, 0.000)
Cd (0.500, 0.000, 0.335)
Cd (0.500, 0.665, 0.000)
Cd (0.500, 0.335, 0.335)
Cd (0.500, 0.665, 0.665)

---

b:
Density functional theory data (PBE-GGA) for a relaxed structure of Tb2SmCd6.

Calculated values
Size of the total moment, μB/atom: 0.00

Unit cell a=3.393 b=8.976 c=8.976 alpha=58.16 beta=79.10 gamma=79.10
Element x y z (fractional)
Cd (0.831, 0.497, 0.842)
Cd (0.000, 0.829, 0.171)
Cd (0.831, 0.842, 0.497)
Cd (0.169, 0.503, 0.158)
Cd (0.169, 0.158, 0.503)
Cd (0.000, 0.171, 0.829)
Tb (0.651, 0.849, 0.849)
Tb (0.349, 0.151, 0.151)
Sm (0.500, 0.500, 0.500)

---

So which one is most stable? That would be a, about 63 meV/atom below the next structure.

---

a:
Density functional theory data (PBE-GGA) for a relaxed structure of Tb2Sm2Cd.

Calculated values
Size of the total moment, μB/atom: 0.00

Unit cell a=5.160 b=5.160 c=12.925 alpha=101.51 beta=101.51 gamma=90.00
Element x y z (fractional)
Tb (0.822, 0.822, 0.643)
Tb (0.178, 0.178, 0.357)
Tb (0.572, 0.072, 0.143)
Tb (0.928, 0.428, 0.857)
Sm (0.078, 0.578, 0.157)
Sm (0.328, 0.328, 0.657)
Sm (0.422, 0.922, 0.843)
Sm (0.672, 0.672, 0.343)
Cd (0.250, 0.750, 0.500)
Cd (0.500, 0.500, 0.000)

---

b:
Density functional theory data (PBE-GGA) for a relaxed structure of Tb2Sm2Cd.

Calculated values
Size of the total moment, μB/atom: 0.00

Unit cell a=3.617 b=3.617 c=11.961 alpha=98.70 beta=98.70 gamma=90.00
Element x y z (fractional)
Tb (0.412, 0.412, 0.825)
Tb (0.588, 0.588, 0.175)
Sm (0.805, 0.805, 0.610)
Sm (0.195, 0.195, 0.390)
Cd (0.000, 0.000, 0.000)

---

So which one is most stable? That would be b, about 165 meV/atom below the next structure.

---

a:
Density functional theory data (PBE-GGA) for a relaxed structure of Tb4Sm3Cd.

Calculated values
Size of the total moment, μB/atom: 0.00

Unit cell a=5.354 b=8.611 c=10.896 alpha=90.00 beta=90.00 gamma=90.00
Element x y z (fractional)
Cd (0.064, 0.350, 0.000)
Cd (0.564, 0.650, 0.500)
Tb (0.064, 0.845, 0.500)
Tb (0.064, 0.136, 0.749)
Tb (0.064, 0.885, 0.000)
Tb (0.064, 0.136, 0.251)
Tb (0.564, 0.115, 0.500)
Tb (0.564, 0.864, 0.249)
Tb (0.564, 0.155, 0.000)
Tb (0.564, 0.864, 0.751)
Sm (0.564, 0.394, 0.719)
Sm (0.564, 0.603, 0.000)
Sm (0.064, 0.606, 0.219)
Sm (0.064, 0.606, 0.781)
Sm (0.064, 0.397, 0.500)
Sm (0.564, 0.394, 0.281)

---

b:
Density functional theory data (PBE-GGA) for a relaxed structure of Tb4Sm3Cd.

Calculated values
Size of the total moment, μB/atom: 0.00

Unit cell a=3.603 b=3.603 c=19.299 alpha=90.00 beta=90.00 gamma=90.00
Element x y z (fractional)
Sm (0.500, 0.500, 0.237)
Sm (0.500, 0.500, 0.763)
Sm (0.500, 0.500, 0.500)
Tb (0.000, 0.000, 0.106)
Tb (0.000, 0.000, 0.894)
Tb (0.000, 0.000, 0.368)
Tb (0.000, 0.000, 0.632)
Cd (0.500, 0.500, 0.000)

---

So which one is most stable? That would be b, about 49 meV/atom below the next structure.

---

a:
Density functional theory data (PBE-GGA) for a relaxed structure of TbSm6Cd2.

Calculated values
Size of the total moment, μB/atom: 0.00

Unit cell a=6.194 b=9.704 c=9.704 alpha=73.27 beta=85.55 gamma=85.55
Element x y z (fractional)
Sm (0.337, 0.903, 0.648)
Sm (0.663, 0.097, 0.352)
Sm (0.813, 0.032, 0.731)
Sm (0.491, 0.683, 0.430)
Sm (0.163, 0.352, 0.097)
Sm (0.991, 0.430, 0.683)
Sm (0.313, 0.731, 0.032)
Sm (0.187, 0.968, 0.269)
Sm (0.009, 0.570, 0.317)
Sm (0.509, 0.317, 0.570)
Sm (0.687, 0.269, 0.968)
Sm (0.837, 0.648, 0.903)
Cd (0.592, 0.459, 0.213)
Cd (0.908, 0.787, 0.541)
Cd (0.092, 0.213, 0.459)
Cd (0.408, 0.541, 0.787)
Tb (0.750, 0.899, 0.101)
Tb (0.250, 0.101, 0.899)

---

b:
Density functional theory data (PBE-GGA) for a relaxed structure of TbSm6Cd2.

Calculated values
Size of the total moment, μB/atom: 0.00

Unit cell a=3.801 b=6.686 c=11.883 alpha=75.62 beta=80.80 gamma=73.49
Element x y z (fractional)
Sm (0.311, 0.791, 0.587)
Sm (0.315, 0.493, 0.877)
Sm (0.689, 0.209, 0.413)
Sm (0.685, 0.507, 0.123)
Sm (0.982, 0.698, 0.338)
Sm (0.018, 0.302, 0.662)
Cd (0.356, 0.084, 0.203)
Cd (0.644, 0.916, 0.797)
Tb (0.000, 0.000, 0.000)

---

So which one is most stable? That would be b, about 69 meV/atom below the next structure.

---

a:
Density functional theory data (PBE-GGA) for a relaxed structure of TbSmThCd.

Calculated values
Size of the total moment, μB/atom: 0.00

Unit cell a=5.509 b=5.509 c=5.509 alpha=60.00 beta=60.00 gamma=60.00
Element x y z (fractional)
Tb (0.250, 0.250, 0.250)
Sm (0.750, 0.750, 0.750)
Cd (0.500, 0.500, 0.500)
Th (0.000, 0.000, 0.000)

---

b:
Density functional theory data (PBE-GGA) for a relaxed structure of TbSmThCd.

Calculated values
Size of the total moment, μB/atom: 0.00

Unit cell a=3.631 b=3.631 c=8.948 alpha=90.00 beta=90.00 gamma=90.00
Element x y z (fractional)
Tb (0.000, 0.000, 0.553)
Th (0.500, 0.500, 0.818)
Cd (0.500, 0.500, 0.326)
Sm (0.000, 0.000, 0.088)

---

So which one is most stable? That would be b, about 255 meV/atom below the next structure.

---

a:
Density functional theory data (PBE-GGA) for a relaxed structure of Sm2CdTe.

Calculated values
Size of the total moment, μB/atom: 0.00

Unit cell a=4.263 b=4.263 c=8.247 alpha=75.02 beta=75.02 gamma=60.00
Element x y z (fractional)
Sm (0.247, 0.247, 0.258)
Sm (0.753, 0.753, 0.742)
Cd (0.000, 0.000, 0.000)
Te (0.500, 0.500, 0.500)

---

b:
Density functional theory data (PBE-GGA) for a relaxed structure of Sm2CdTe.

Calculated values
Size of the total moment, μB/atom: 0.00

Unit cell a=3.958 b=3.958 c=7.126 alpha=90.00 beta=90.00 gamma=90.00
Element x y z (fractional)
Sm (0.000, 0.000, 0.752)
Sm (0.000, 0.000, 0.248)
Cd (0.500, 0.500, 0.500)
Te (0.500, 0.500, 0.000)

---

So which one is most stable? That would be a, about 39 meV/atom below the next structure.

---

a:
Density functional theory data (PBE-GGA) for a relaxed structure of SmThCd.

Calculated values
Size of the total moment, μB/atom: 0.00

Unit cell a=3.553 b=5.370 c=5.370 alpha=120.00 beta=90.00 gamma=90.00
Element x y z (fractional)
Sm (0.600, 0.667, 0.333)
Cd (0.367, 0.333, 0.667)
Th (0.032, 0.000, 0.000)

---

b:
Density functional theory data (PBE-GGA) for a relaxed structure of SmThCd.

Calculated values
Size of the total moment, μB/atom: 0.00

Unit cell a=3.603 b=5.584 c=9.085 alpha=90.00 beta=101.44 gamma=90.00
Element x y z (fractional)
Th (0.226, 0.750, 0.452)
Th (0.774, 0.250, 0.548)
Sm (0.909, 0.750, 0.817)
Sm (0.091, 0.250, 0.183)
Cd (0.561, 0.750, 0.123)
Cd (0.439, 0.250, 0.877)

---

c:
Density functional theory data (PBE-GGA) for a relaxed structure of SmThCd.

Calculated values
Size of the total moment, μB/atom: 0.00

Unit cell a=3.650 b=3.650 c=7.250 alpha=104.58 beta=104.58 gamma=90.00
Element x y z (fractional)
Th (0.326, 0.326, 0.653)
Sm (0.011, 0.011, 0.022)
Cd (0.663, 0.663, 0.325)

---

So which one is most stable? That would be b, about 33 meV/atom below the next structure.

---

a:
Density functional theory data (PBE-GGA) for a relaxed structure of Sm2ThCd.

Calculated values
Size of the total moment, μB/atom: 0.00

Unit cell a=3.441 b=3.441 c=12.322 alpha=81.97 beta=81.97 gamma=60.00
Element x y z (fractional)
Cd (0.500, 0.500, 0.500)
Sm (0.906, 0.906, 0.282)
Sm (0.094, 0.094, 0.718)
Th (0.000, 0.000, 0.000)

---

b:
Density functional theory data (PBE-GGA) for a relaxed structure of Sm2ThCd.

Calculated values
Size of the total moment, μB/atom: 0.00

Unit cell a=5.540 b=5.540 c=5.540 alpha=60.00 beta=60.00 gamma=60.00
Element x y z (fractional)
Sm (0.250, 0.250, 0.250)
Sm (0.750, 0.750, 0.750)
Cd (0.500, 0.500, 0.500)
Th (0.000, 0.000, 0.000)

---

So which one is most stable? That would be b, about 71 meV/atom below the next structure.

---

a:
Density functional theory data (PBE-GGA) for a relaxed structure of Sm2ThCd.

Calculated values
Size of the total moment, μB/atom: 0.00

Unit cell a=3.597 b=3.597 c=11.273 alpha=80.82 beta=80.82 gamma=60.00
Element x y z (fractional)
Sm (0.078, 0.078, 0.765)
Sm (0.255, 0.255, 0.235)
Th (0.500, 0.500, 0.500)
Cd (0.667, 0.667, 0.000)

---

b:
Density functional theory data (PBE-GGA) for a relaxed structure of Sm2ThCd.

Calculated values
Size of the total moment, μB/atom: 0.00

Unit cell a=4.920 b=4.935 c=4.935 alpha=90.00 beta=90.00 gamma=90.00
Element x y z (fractional)
Sm (0.000, 0.000, 0.500)
Sm (0.000, 0.500, 0.000)
Cd (0.500, 0.000, 0.000)
Th (0.500, 0.500, 0.500)

---

So which one is most stable? That would be b, about 14 meV/atom below the next structure.

---

a:
Density functional theory data (PBE-GGA) for a relaxed structure of SmTh2Cd.

Calculated values
Size of the total moment, μB/atom: 0.00

Unit cell a=5.547 b=5.547 c=5.547 alpha=60.00 beta=60.00 gamma=60.00
Element x y z (fractional)
Cd (0.000, 0.000, 0.000)
Sm (0.500, 0.500, 0.500)
Th (0.750, 0.750, 0.750)
Th (0.250, 0.250, 0.250)

---

b:
Density functional theory data (PBE-GGA) for a relaxed structure of SmTh2Cd.

Calculated values
Size of the total moment, μB/atom: 0.00

Unit cell a=5.061 b=4.871 c=4.871 alpha=90.00 beta=90.00 gamma=90.00
Element x y z (fractional)
Cd (0.500, 0.500, 0.500)
Th (0.000, 0.000, 0.500)
Th (0.000, 0.500, 0.000)
Sm (0.500, 0.000, 0.000)

---

So which one is most stable? That would be b, about 132 meV/atom below the next structure.

---

a:
Density functional theory data (PBE-GGA) for a relaxed structure of SmTh2Cd.

Calculated values
Size of the total moment, μB/atom: 0.00

Unit cell a=3.388 b=3.388 c=12.578 alpha=82.26 beta=82.26 gamma=60.00
Element x y z (fractional)
Sm (0.000, 0.000, 0.000)
Cd (0.500, 0.500, 0.500)
Th (0.909, 0.909, 0.274)
Th (0.091, 0.091, 0.726)

---

b:
Density functional theory data (PBE-GGA) for a relaxed structure of SmTh2Cd.

Calculated values
Size of the total moment, μB/atom: 0.00

Unit cell a=3.512 b=3.512 c=9.979 alpha=90.00 beta=90.00 gamma=90.00
Element x y z (fractional)
Cd (0.500, 0.500, 0.000)
Th (0.000, 0.000, 0.766)
Th (0.000, 0.000, 0.234)
Sm (0.500, 0.500, 0.500)

---

So which one is most stable? That would be b, about 168 meV/atom below the next structure.

---

a:
Density functional theory data (PBE-GGA) for a relaxed structure of SmTmThCd.

Calculated values
Size of the total moment, μB/atom: 0.00

Unit cell a=5.498 b=5.498 c=5.498 alpha=60.00 beta=60.00 gamma=60.00
Element x y z (fractional)
Tm (0.250, 0.250, 0.250)
Th (0.500, 0.500, 0.500)
Cd (0.750, 0.750, 0.750)
Sm (0.000, 0.000, 0.000)

---

b:
Density functional theory data (PBE-GGA) for a relaxed structure of SmTmThCd.

Calculated values
Size of the total moment, μB/atom: 0.00

Unit cell a=3.613 b=3.613 c=8.886 alpha=90.00 beta=90.00 gamma=90.00
Element x y z (fractional)
Cd (0.000, 0.000, 0.561)
Sm (0.500, 0.500, 0.804)
Th (0.000, 0.000, 0.078)
Tm (0.500, 0.500, 0.342)

---

So which one is most stable? That would be b, about 192 meV/atom below the next structure.

---

a:
Density functional theory data (PBE-GGA) for a relaxed structure of Sm2TiCd.

Calculated values
Size of the total moment, μB/atom: 0.36

Unit cell a=3.263 b=3.263 c=11.753 alpha=82.02 beta=82.02 gamma=60.00
Last column: magnetic moment on the atom in μB.
Element x y z (fractional)
Ti (0.000, 0.000, 0.000)  1.09
Cd (0.500, 0.500, 0.500)  -0.01
Sm (0.915, 0.915, 0.255)  0.05
Sm (0.085, 0.085, 0.745)  0.05

---

b:
Density functional theory data (PBE-GGA) for a relaxed structure of Sm2TiCd.

Calculated values
Size of the total moment, μB/atom: 0.62

Unit cell a=3.881 b=5.242 c=5.242 alpha=90.00 beta=90.00 gamma=90.00
Last column: magnetic moment on the atom in μB.
Element x y z (fractional)
Ti (0.500, 0.000, 0.000)  1.44
Sm (0.000, 0.500, 0.000)  0.18
Sm (0.000, 0.000, 0.500)  0.18
Cd (0.500, 0.500, 0.500)  -0.01

---

So which one is most stable? That would be b, about 327 meV/atom below the next structure.